# 1
This record from Alexandria describes AcPmPbO4 after structural relaxation. The functional is PBE.

Output
* DOS at the Fermi energy: 0.0 states/eV/cell
* space-group type: No. 74
* volume: 142 Å³/f.u.

a b c (Å): 7.368 7.368 7.368
angles (deg): 122.39 116.81 90.76
Fractional coordinates of all 14 atoms:
Ac (0.000, 0.000, 0.000)
Ac (0.500, 0.000, 0.500)
Pm (0.500, 0.000, 0.000)
Pm (0.500, 0.500, 0.500)
Pb (0.125, 0.375, 0.750)
Pb (0.875, 0.625, 0.250)
O (0.266, 0.250, 0.483)
O (0.266, 0.783, 0.017)
O (0.284, 0.238, 0.046)
O (0.308, 0.762, 0.546)
O (0.692, 0.238, 0.454)
O (0.716, 0.762, 0.954)
O (0.734, 0.217, 0.983)
O (0.734, 0.750, 0.517)

# 2
This record from Alexandria describes Ac4Pm2Pb3O2 after structural relaxation. The functional is PBE.

Output
* DOS at the Fermi energy: 6.7 states/eV/cell
* space-group type: No. 139
* volume: 350 Å³/f.u.

a b c (Å): 13.915 13.915 13.915
angles (deg): 158.88 158.88 30.04
Fractional coordinates of all 11 atoms:
Ac (0.085, 0.585, 0.500)
Ac (0.415, 0.915, 0.500)
Ac (0.585, 0.085, 0.500)
Ac (0.915, 0.415, 0.500)
Pm (0.197, 0.197, 0.000)
Pm (0.803, 0.803, 0.000)
Pb (0.318, 0.318, 0.000)
Pb (0.500, 0.500, 0.000)
Pb (0.682, 0.682, 0.000)
O (0.108, 0.108, 0.000)
O (0.892, 0.892, 0.000)

# 3
This record from Alexandria describes Ac2PrPb2O2 after structural relaxation. The functional is PBE.

Output
* DOS at the Fermi energy: 10.0 states/eV/cell
* space-group type: No. 139
* volume: 190 Å³/f.u.

a b c (Å): 4.685 4.685 17.297
angles (deg): 90.00 90.00 90.00
Fractional coordinates of all 14 atoms:
Ac (0.000, 0.000, 0.109)
Ac (0.000, 0.000, 0.891)
Ac (0.500, 0.500, 0.391)
Ac (0.500, 0.500, 0.609)
Pr (0.000, 0.000, 0.500)
Pr (0.500, 0.500, 0.000)
Pb (0.000, 0.000, 0.299)
Pb (0.000, 0.000, 0.701)
Pb (0.500, 0.500, 0.201)
Pb (0.500, 0.500, 0.799)
O (0.000, 0.500, 0.000)
O (0.000, 0.500, 0.500)
O (0.500, 0.000, 0.000)
O (0.500, 0.000, 0.500)

# 4
This record from Alexandria describes AcPrPbO after structural relaxation. The functional is PBE.

Output
* DOS at the Fermi energy: 4.7 states/eV/cell
* space-group type: No. 44
* volume: 116 Å³/f.u.

a b c (Å): 3.910 4.062 14.620
angles (deg): 90.00 90.00 90.00
Fractional coordinates of all 8 atoms:
Ac (0.000, 0.000, 0.000)
Ac (0.500, 0.500, 0.500)
Pr (0.000, 0.000, 0.311)
Pr (0.500, 0.500, 0.811)
Pb (0.000, 0.000, 0.664)
Pb (0.500, 0.500, 0.164)
O (0.000, 0.500, 0.905)
O (0.500, 0.000, 0.405)

# 5
This record from Alexandria describes Ac4Pr2Pb3O2 after structural relaxation. The functional is PBE.

Output
* DOS at the Fermi energy: 7.1 states/eV/cell
* space-group type: No. 139
* volume: 353 Å³/f.u.

a b c (Å): 14.041 14.041 14.041
angles (deg): 159.06 159.06 29.79
Fractional coordinates of all 11 atoms:
Ac (0.085, 0.585, 0.500)
Ac (0.415, 0.915, 0.500)
Ac (0.585, 0.085, 0.500)
Ac (0.915, 0.415, 0.500)
Pr (0.197, 0.197, 0.000)
Pr (0.803, 0.803, 0.000)
Pb (0.319, 0.319, 0.000)
Pb (0.500, 0.500, 0.000)
Pb (0.681, 0.681, 0.000)
O (0.106, 0.106, 0.000)
O (0.894, 0.894, 0.000)

# 6
This record from Alexandria describes AcPrPb2O8 after structural relaxation. The functional is PBE.

Output
* DOS at the Fermi energy: 9.2 states/eV/cell
* space-group type: No. 82
* volume: 190 Å³/f.u.

a b c (Å): 7.118 7.118 7.118
angles (deg): 132.84 132.84 68.90
Fractional coordinates of all 12 atoms:
Ac (0.000, 0.000, 0.000)
Pr (0.250, 0.750, 0.500)
Pb (0.500, 0.500, 0.000)
Pb (0.750, 0.250, 0.500)
O (0.043, 0.094, 0.450)
O (0.216, 0.655, 0.066)
O (0.345, 0.411, 0.561)
O (0.408, 0.957, 0.051)
O (0.589, 0.150, 0.934)
O (0.643, 0.592, 0.550)
O (0.850, 0.784, 0.439)
O (0.906, 0.357, 0.949)

# 7
This record from Alexandria describes Ac2Pr4Pb3O2 after structural relaxation. The functional is PBE.

Output
* DOS at the Fermi energy: 4.9 states/eV/cell
* space-group type: No. 139
* volume: 333 Å³/f.u.

a b c (Å): 13.977 13.977 13.977
angles (deg): 159.54 159.54 29.09
Fractional coordinates of all 11 atoms:
Ac (0.193, 0.193, 0.000)
Ac (0.807, 0.807, 0.000)
Pr (0.080, 0.580, 0.500)
Pr (0.420, 0.920, 0.500)
Pr (0.580, 0.080, 0.500)
Pr (0.920, 0.420, 0.500)
Pb (0.326, 0.326, 0.000)
Pb (0.500, 0.500, 0.000)
Pb (0.674, 0.674, 0.000)
O (0.099, 0.099, 0.000)
O (0.901, 0.901, 0.000)

# 8
This record from Alexandria describes Ac2PtPbO6 after structural relaxation. The functional is PBE.

Output
* space-group type: No. 14
* volume: 160 Å³/f.u.

a b c (Å): 5.896 6.342 10.352
angles (deg): 90.00 124.44 90.00
Fractional coordinates of all 20 atoms:
Ac (0.234, 0.062, 0.254)
Ac (0.234, 0.438, 0.754)
Ac (0.766, 0.562, 0.246)
Ac (0.766, 0.938, 0.746)
Pt (0.000, 0.000, 0.500)
Pt (0.000, 0.500, 0.000)
Pb (0.500, 0.000, 0.000)
Pb (0.500, 0.500, 0.500)
O (0.090, 0.226, 0.926)
O (0.090, 0.274, 0.426)
O (0.241, 0.673, 0.951)
O (0.241, 0.827, 0.451)
O (0.343, 0.060, 0.723)
O (0.343, 0.440, 0.223)
O (0.657, 0.560, 0.777)
O (0.657, 0.940, 0.277)
O (0.759, 0.173, 0.549)
O (0.759, 0.327, 0.049)
O (0.910, 0.726, 0.574)
O (0.910, 0.774, 0.074)

# 9
This record from Alexandria describes AcPtPbO6 after structural relaxation. The functional is PBE.

Output
* DOS at the Fermi energy: 15.1 states/eV/cell
* space-group type: No. 163
* volume: 129 Å³/f.u.

a b c (Å): 6.012 6.012 8.270
angles (deg): 90.00 90.00 120.00
Fractional coordinates of all 18 atoms:
Ac (0.333, 0.667, 0.250)
Ac (0.667, 0.333, 0.750)
Pt (0.333, 0.667, 0.750)
Pt (0.667, 0.333, 0.250)
Pb (0.000, 0.000, 0.000)
Pb (0.000, 0.000, 0.500)
O (0.061, 0.383, 0.616)
O (0.061, 0.678, 0.884)
O (0.322, 0.383, 0.884)
O (0.322, 0.939, 0.616)
O (0.383, 0.061, 0.116)
O (0.383, 0.322, 0.384)
O (0.617, 0.678, 0.616)
O (0.617, 0.939, 0.884)
O (0.678, 0.061, 0.384)
O (0.678, 0.617, 0.116)
O (0.939, 0.322, 0.116)
O (0.939, 0.617, 0.384)

# 10
This record from Alexandria describes Ac3PtPbO after structural relaxation. The functional is PBE.

Output
* DOS at the Fermi energy: 8.5 states/eV/cell
* space-group type: No. 11
* volume: 204 Å³/f.u.

a b c (Å): 9.759 4.325 9.970
angles (deg): 90.00 104.28 90.00
Fractional coordinates of all 12 atoms:
Ac (0.062, 0.250, 0.341)
Ac (0.330, 0.250, 0.977)
Ac (0.381, 0.750, 0.650)
Ac (0.619, 0.250, 0.350)
Ac (0.670, 0.750, 0.023)
Ac (0.938, 0.750, 0.659)
Pt (0.159, 0.250, 0.654)
Pt (0.841, 0.750, 0.346)
Pb (0.318, 0.750, 0.268)
Pb (0.682, 0.250, 0.732)
O (0.418, 0.750, 0.905)
O (0.582, 0.250, 0.095)

# 11
This record from Alexandria describes Ac2PtPbO8 after structural relaxation. The functional is PBE.

Output
* DOS at the Fermi energy: 1.7 states/eV/cell
* space-group type: No. 10
* volume: 183 Å³/f.u.

a b c (Å): 4.592 7.283 5.482
angles (deg): 90.00 94.36 90.00
Fractional coordinates of all 12 atoms:
Ac (0.000, 0.242, 0.000)
Ac (0.000, 0.758, 0.000)
Pt (0.500, 0.000, 0.500)
Pb (0.500, 0.500, 0.500)
O (0.080, 0.000, 0.389)
O (0.095, 0.500, 0.252)
O (0.452, 0.215, 0.738)
O (0.452, 0.785, 0.738)
O (0.548, 0.215, 0.262)
O (0.548, 0.785, 0.262)
O (0.905, 0.500, 0.748)
O (0.920, 0.000, 0.611)

# 12
This record from Alexandria describes Ac2PuPbO8 after structural relaxation. The functional is PBE.

Output
* DOS at the Fermi energy: 5.0 states/eV/cell
* space-group type: No. 2
* volume: 194 Å³/f.u.

a b c (Å): 4.244 5.679 8.158
angles (deg): 84.07 88.71 82.83
Fractional coordinates of all 12 atoms:
Ac (0.015, 0.021, 0.252)
Ac (0.985, 0.979, 0.748)
Pu (0.500, 0.500, 0.500)
Pb (0.500, 0.500, 0.000)
O (0.089, 0.714, 0.516)
O (0.089, 0.746, 0.028)
O (0.433, 0.253, 0.683)
O (0.456, 0.292, 0.245)
O (0.544, 0.708, 0.755)
O (0.567, 0.747, 0.317)
O (0.911, 0.254, 0.972)
O (0.911, 0.286, 0.484)

# 13
This record from Alexandria describes AcPuPbO6 after structural relaxation. The functional is PBE.

Output
* space-group type: No. 163
* volume: 158 Å³/f.u.

a b c (Å): 6.227 6.227 9.380
angles (deg): 90.00 90.00 120.00
Fractional coordinates of all 18 atoms:
Ac (0.333, 0.667, 0.250)
Ac (0.667, 0.333, 0.750)
Pu (0.333, 0.667, 0.750)
Pu (0.667, 0.333, 0.250)
Pb (0.000, 0.000, 0.000)
Pb (0.000, 0.000, 0.500)
O (0.057, 0.393, 0.635)
O (0.057, 0.665, 0.865)
O (0.335, 0.393, 0.865)
O (0.335, 0.943, 0.635)
O (0.393, 0.057, 0.135)
O (0.393, 0.335, 0.365)
O (0.607, 0.665, 0.635)
O (0.607, 0.943, 0.865)
O (0.665, 0.057, 0.365)
O (0.665, 0.607, 0.135)
O (0.943, 0.335, 0.135)
O (0.943, 0.607, 0.365)

# 14
This record from Alexandria describes Rb2AcPb2O4 after structural relaxation. The functional is PBE.

Output
* DOS at the Fermi energy: 1.3 states/eV/cell
* space-group type: No. 12
* volume: 257 Å³/f.u.

a b c (Å): 9.867 9.867 7.102
angles (deg): 101.96 101.96 22.37
Fractional coordinates of all 9 atoms:
Rb (0.132, 0.132, 0.493)
Rb (0.868, 0.868, 0.507)
Ac (0.000, 0.000, 0.000)
Pb (0.336, 0.336, 0.987)
Pb (0.664, 0.664, 0.013)
O (0.108, 0.108, 0.858)
O (0.427, 0.427, 0.823)
O (0.573, 0.573, 0.177)
O (0.892, 0.892, 0.142)

# 15
This record from Alexandria describes RbAcPbO3 after structural relaxation. The functional is PBE.

Output
* DOS at the Fermi energy: 0.0 states/eV/cell
* space-group type: No. 11
* volume: 131 Å³/f.u.

a b c (Å): 8.279 3.689 8.777
angles (deg): 90.00 102.25 90.00
Fractional coordinates of all 12 atoms:
Rb (0.135, 0.250, 0.372)
Rb (0.865, 0.750, 0.628)
Ac (0.203, 0.250, 0.967)
Ac (0.797, 0.750, 0.033)
Pb (0.433, 0.750, 0.703)
Pb (0.567, 0.250, 0.297)
O (0.103, 0.750, 0.120)
O (0.188, 0.750, 0.755)
O (0.494, 0.750, 0.142)
O (0.506, 0.250, 0.858)
O (0.812, 0.250, 0.245)
O (0.897, 0.250, 0.880)

# 16
This record from Alexandria describes Rb2AcPbO4 after structural relaxation. The functional is PBE.

Output
* DOS at the Fermi energy: 2.3 states/eV/cell
* space-group type: No. 10
* volume: 163 Å³/f.u.

a b c (Å): 6.433 3.820 7.017
angles (deg): 90.00 108.71 90.00
Fractional coordinates of all 8 atoms:
Rb (0.000, 0.000, 0.000)
Rb (0.500, 0.500, 0.000)
Ac (0.000, 0.500, 0.500)
Pb (0.500, 0.000, 0.500)
O (0.230, 0.000, 0.692)
O (0.284, 0.500, 0.313)
O (0.716, 0.500, 0.687)
O (0.770, 0.000, 0.308)

# 17
This record from Alexandria describes Rb3AcPb2O6 after structural relaxation. The functional is PBE.

Output
* DOS at the Fermi energy: 4.5 states/eV/cell
* space-group type: No. 164
* volume: 294 Å³/f.u.

a b c (Å): 6.664 6.664 7.650
angles (deg): 90.00 90.00 120.00
Fractional coordinates of all 12 atoms:
Rb (0.000, 0.000, 0.000)
Rb (0.333, 0.667, 0.649)
Rb (0.667, 0.333, 0.351)
Ac (0.000, 0.000, 0.500)
Pb (0.333, 0.667, 0.186)
Pb (0.667, 0.333, 0.814)
O (0.168, 0.335, 0.305)
O (0.168, 0.832, 0.305)
O (0.335, 0.168, 0.695)
O (0.665, 0.832, 0.305)
O (0.832, 0.168, 0.695)
O (0.832, 0.665, 0.695)

# 18
This record from Alexandria describes RbAc2PbO5 after structural relaxation. The functional is PBE.

Output
* DOS at the Fermi energy: 3.6 states/eV/cell
* space-group type: No. 140
* volume: 175 Å³/f.u.

a b c (Å): 8.320 8.320 8.320
angles (deg): 127.80 127.80 76.95
Fractional coordinates of all 18 atoms:
Rb (0.250, 0.250, 0.000)
Rb (0.750, 0.750, 0.000)
Ac (0.181, 0.681, 0.862)
Ac (0.319, 0.181, 0.500)
Ac (0.681, 0.819, 0.500)
Ac (0.819, 0.319, 0.138)
Pb (0.250, 0.750, 0.500)
Pb (0.750, 0.250, 0.500)
O (0.000, 0.000, 0.000)
O (0.022, 0.236, 0.500)
O (0.236, 0.736, 0.214)
O (0.264, 0.478, 0.500)
O (0.478, 0.978, 0.214)
O (0.500, 0.500, 0.000)
O (0.522, 0.022, 0.786)
O (0.736, 0.522, 0.500)
O (0.764, 0.264, 0.786)
O (0.978, 0.764, 0.500)

# 19
This record from Alexandria describes RbAc4Pb3O12 after structural relaxation. The functional is PBE.

Output
* DOS at the Fermi energy: 6.5 states/eV/cell
* space-group type: No. 204
* volume: 384 Å³/f.u.

a b c (Å): 7.931 7.931 7.931
angles (deg): 109.47 109.47 109.47
Fractional coordinates of all 20 atoms:
Rb (0.000, 0.000, 0.000)
Ac (0.000, 0.000, 0.500)
Ac (0.000, 0.500, 0.000)
Ac (0.500, 0.000, 0.000)
Ac (0.500, 0.500, 0.500)
Pb (0.000, 0.500, 0.500)
Pb (0.500, 0.000, 0.500)
Pb (0.500, 0.500, 0.000)
O (0.162, 0.327, 0.834)
O (0.166, 0.493, 0.327)
O (0.166, 0.838, 0.673)
O (0.327, 0.166, 0.493)
O (0.327, 0.834, 0.162)
O (0.493, 0.327, 0.166)
O (0.507, 0.673, 0.834)
O (0.673, 0.166, 0.838)
O (0.673, 0.834, 0.507)
O (0.834, 0.162, 0.327)
O (0.834, 0.507, 0.673)
O (0.838, 0.673, 0.166)

# 20
This record from Alexandria describes AcRe2PbO8 after structural relaxation. The functional is PBE.

Output
* DOS at the Fermi energy: 8.4 states/eV/cell
* space-group type: No. 164
* volume: 246 Å³/f.u.

a b c (Å): 6.171 6.171 7.456
angles (deg): 90.00 90.00 120.00
Fractional coordinates of all 12 atoms:
Ac (0.000, 0.000, 0.000)
Re (0.333, 0.667, 0.305)
Re (0.667, 0.333, 0.695)
Pb (0.000, 0.000, 0.500)
O (0.169, 0.338, 0.230)
O (0.169, 0.831, 0.230)
O (0.333, 0.667, 0.543)
O (0.338, 0.169, 0.770)
O (0.662, 0.831, 0.230)
O (0.667, 0.333, 0.457)
O (0.831, 0.169, 0.770)
O (0.831, 0.662, 0.770)

Looking at ΔE_f (raw) for the records above, in order, we have -2614; -1241; -1551; -1645; -1252; -1691; -1374; -2047; -1244; -1489; -1642; -2452; -2353; -1641; -1986; -1787; -1541; -2227; -2055; -1705 meV/atom.